DFT (PBEsol) results for crystalline Li2YGeBi at its relaxed geometry.

The space group is P4/mmm (No. 123) and the conventional cell measures 4.612, 4.612 and 5.768 Å, with angles of 90.00, 90.00 and 90.00 degrees. Symmetry generates all atoms from Li at (0.000, 0.500, 0.000), Y at (0.000, 0.000, 0.500), Ge at (0.500, 0.500, 0.000) and Bi at (0.500, 0.500, 0.500).

As for the volume: 24.54 A^3/atom. The value obtained for the energy relative to the elements is -29 kJ/mol of formula units. Its total energy is -4.0554 eV per atom. The spin magnetization comes out at 0.00 μB/f.u.